Record 1
# AlSe4Cl4 | Alexandria via LeMat-Bulk | PBE | relaxed
data_AlSe4Cl4
_chemical_formula_sum 'Al8 Se32 Cl32'
_cell_length_a 14.887
_cell_length_b 10.786
_cell_length_c 15.010
_cell_angle_alpha 90.00
_cell_angle_beta 90.00
_cell_angle_gamma 90.00
_space_group_name_H-M_alt 'P c a 21'
_space_group_IT_number 29
loop_
_space_group_symop_operation_xyz
'x,y,z'
'-x,-y,z+1/2'
'-x+1/2,y,z+1/2'
'x+1/2,-y,z'
loop_
_atom_site_label
_atom_site_type_symbol
_atom_site_fract_x
_atom_site_fract_y
_atom_site_fract_z
Al1 Al 0.119 0.238 0.000
Al2 Al 0.232 0.747 0.197
Se1 Se 0.001 0.779 0.808
Se2 Se 0.015 0.802 0.013
Se3 Se 0.033 0.405 0.537
Se4 Se 0.055 0.426 0.313
Se5 Se 0.096 0.951 0.403
Se6 Se 0.124 0.092 0.520
Se7 Se 0.133 0.106 0.297
Se8 Se 0.154 0.410 0.435
Cl1 Cl 0.021 0.739 0.539
Cl2 Cl 0.097 0.739 0.254
Cl3 Cl 0.140 0.313 0.869
Cl4 Cl 0.153 0.043 0.002
Cl5 Cl 0.184 0.612 0.763
Cl6 Cl 0.203 0.332 0.096
Cl7 Cl 0.211 0.929 0.721
Cl8 Cl 0.221 0.707 0.057
# electronic total energy = -255.7 eV/cell
# formation energy from raw total energies = -0.766 eV/atom

=====

Record 2
# AlSe2Cl | Alexandria via LeMat-Bulk | PBE | relaxed
data_AlSe2Cl
_chemical_formula_sum 'Al3 Se6 Cl3'
_cell_length_a 3.8489
_cell_length_b 3.8489
_cell_length_c 22.8686
_cell_angle_alpha 90.00
_cell_angle_beta 90.00
_cell_angle_gamma 120.00
_space_group_name_H-M_alt 'R -3 m'
_space_group_IT_number 166
_space_group_name_Hall '-R 3 2"'
loop_
_atom_site_label
_atom_site_type_symbol
_atom_site_fract_x
_atom_site_fract_y
_atom_site_fract_z
Al1 Al 0.0000 0.0000 0.0000
Se1 Se 0.0000 0.0000 0.3912
Cl1 Cl 0.0000 0.0000 0.5000
# electronic total energy = -43.8 eV/cell
# excess energy over the best structure of this formula in the dataset = 0.207 eV/atom
# formation energy from raw total energies = -0.507 eV/atom

=====

Record 3
# AlSe2Cl | Alexandria via LeMat-Bulk | PBE | relaxed
data_AlSe2Cl
_chemical_formula_sum 'Al4 Se8 Cl4'
_cell_length_a 6.657
_cell_length_b 6.657
_cell_length_c 10.117
_cell_angle_alpha 90.00
_cell_angle_beta 90.00
_cell_angle_gamma 90.00
_space_group_name_H-M_alt 'I -4 2 d'
_space_group_IT_number 122
_space_group_name_Hall 'I -4 2bw'
loop_
_atom_site_label
_atom_site_type_symbol
_atom_site_fract_x
_atom_site_fract_y
_atom_site_fract_z
Al1 Al 0.000 0.000 0.000
Se1 Se 0.185 0.250 0.125
Cl1 Cl 0.000 0.000 0.500
# electronic total energy = -53.0 eV/cell
# excess energy over the best structure of this formula in the dataset = 0.543 eV/atom
# formation energy from raw total energies = -0.171 eV/atom

=====

Record 4
# AlSeCl | Alexandria via LeMat-Bulk | PBE | relaxed
data_AlSeCl
_chemical_formula_sum 'Al4 Se4 Cl4'
_cell_length_a 3.430
_cell_length_b 8.553
_cell_length_c 14.417
_cell_angle_alpha 90.00
_cell_angle_beta 90.00
_cell_angle_gamma 90.00
_space_group_name_H-M_alt 'F m m 2'
_space_group_IT_number 42
_space_group_name_Hall 'F 2 -2'
loop_
_atom_site_label
_atom_site_type_symbol
_atom_site_fract_x
_atom_site_fract_y
_atom_site_fract_z
Al1 Al 0.000 0.000 0.000
Se1 Se 0.000 0.000 0.609
Cl1 Cl 0.000 0.000 0.380
# electronic total energy = -44.9 eV/cell
# formation energy from raw total energies = -0.718 eV/atom

=====

Record 5
# AlSe2Cl4 | Alexandria via LeMat-Bulk | PBE | relaxed
data_AlSe2Cl4
_chemical_formula_sum 'Al8 Se16 Cl32'
_cell_length_a 13.903
_cell_length_b 14.483
_cell_length_c 9.384
_cell_angle_alpha 90.00
_cell_angle_beta 90.00
_cell_angle_gamma 90.00
_space_group_name_H-M_alt 'P b a m'
_space_group_IT_number 55
loop_
_space_group_symop_operation_xyz
'x,y,z'
'-x,-y,-z'
'-x,-y,z'
'x,y,-z'
'x+1/2,-y+1/2,-z'
'-x+1/2,y+1/2,z'
'-x+1/2,y+1/2,-z'
'x+1/2,-y+1/2,z'
loop_
_atom_site_label
_atom_site_type_symbol
_atom_site_fract_x
_atom_site_fract_y
_atom_site_fract_z
Al1 Al 0.096 0.164 0.000
Al2 Al 0.147 0.375 0.500
Se1 Se 0.000 0.000 0.324
Se2 Se 0.000 0.500 0.177
Se3 Se 0.013 0.114 0.500
Se4 Se 0.114 0.466 0.000
Cl1 Cl 0.004 0.190 0.184
Cl2 Cl 0.006 0.637 0.500
Cl3 Cl 0.139 0.021 0.000
Cl4 Cl 0.194 0.457 0.316
Cl5 Cl 0.216 0.243 0.500
Cl6 Cl 0.216 0.255 0.000
# electronic total energy = -199.4 eV/cell
# formation energy from raw total energies = -0.975 eV/atom

=====

Record 6
# Al3SeCl | Alexandria via LeMat-Bulk | PBE | relaxed
data_Al3SeCl
_chemical_formula_sum 'Al3 Se1 Cl1'
_cell_length_a 5.246
_cell_length_b 5.246
_cell_length_c 5.246
_cell_angle_alpha 90.00
_cell_angle_beta 90.00
_cell_angle_gamma 90.00
_space_group_name_H-M_alt 'P m -3 m'
_space_group_IT_number 221
_space_group_name_Hall '-P 4 2 3'
loop_
_atom_site_label
_atom_site_type_symbol
_atom_site_fract_x
_atom_site_fract_y
_atom_site_fract_z
Al1 Al 0.000 0.000 0.500
Se1 Se 0.500 0.500 0.500
Cl1 Cl 0.000 0.000 0.000
# electronic total energy = -13.8 eV/cell
# excess energy over the best structure of this formula in the dataset = 0.073 eV/atom
# formation energy from raw total energies = 0.549 eV/atom

=====

Record 7
# AlSe2Cl | Alexandria via LeMat-Bulk | PBE | relaxed
data_AlSe2Cl
_chemical_formula_sum 'Al1 Se2 Cl1'
_cell_length_a 4.810
_cell_length_b 4.810
_cell_length_c 3.458
_cell_angle_alpha 90.00
_cell_angle_beta 90.00
_cell_angle_gamma 90.00
_space_group_name_H-M_alt 'P 4/m m m'
_space_group_IT_number 123
_space_group_name_Hall '-P 4 2'
loop_
_atom_site_label
_atom_site_type_symbol
_atom_site_fract_x
_atom_site_fract_y
_atom_site_fract_z
Al1 Al 0.000 0.000 0.000
Se1 Se 0.000 0.500 0.500
Cl1 Cl 0.500 0.500 0.000
# electronic total energy = -11.1 eV/cell
# excess energy over the best structure of this formula in the dataset = 1.078 eV/atom
# formation energy from raw total energies = 0.363 eV/atom

=====

Record 8
# AlSe2Cl | Alexandria via LeMat-Bulk | PBE | relaxed
data_AlSe2Cl
_chemical_formula_sum 'Al2 Se4 Cl2'
_cell_length_a 3.819
_cell_length_b 3.819
_cell_length_c 13.016
_cell_angle_alpha 90.00
_cell_angle_beta 90.00
_cell_angle_gamma 90.00
_space_group_name_H-M_alt 'I 4/m m m'
_space_group_IT_number 139
_space_group_name_Hall '-I 4 2'
loop_
_atom_site_label
_atom_site_type_symbol
_atom_site_fract_x
_atom_site_fract_y
_atom_site_fract_z
Al1 Al 0.000 0.000 0.000
Se1 Se 0.000 0.500 0.250
Cl1 Cl 0.000 0.000 0.500
# electronic total energy = -25.5 eV/cell
# excess energy over the best structure of this formula in the dataset = 0.669 eV/atom
# formation energy from raw total energies = -0.045 eV/atom